VASP calculation (GGA-PBE) on DyPaGaPd after structural relaxation.

abc: 7.105 7.105 7.105
angles: 90.00 90.00 90.00
Positions (direct):
Dy: 0.000 0.000 0.000
Dy: 0.000 0.500 0.500
Dy: 0.500 0.000 0.500
Dy: 0.500 0.500 0.000
Pa: 0.000 0.000 0.500
Pa: 0.000 0.500 0.000
Pa: 0.500 0.000 0.000
Pa: 0.500 0.500 0.500
Ga: 0.250 0.250 0.750
Ga: 0.250 0.750 0.250
Ga: 0.750 0.250 0.250
Ga: 0.750 0.750 0.750
Pd: 0.250 0.250 0.250
Pd: 0.250 0.750 0.750
Pd: 0.750 0.250 0.750
Pd: 0.750 0.750 0.250

SG	F-43m (216)
ΔE_f	-0.359	eV per atom
size of the total moment	1.05	μB/f.u.
final energy	-5.9386	eV per atom


VASP calculation (GGA-PBE) on Ac6PrY after structural relaxation.

abc: 17.495 6.409 6.548
angles: 90.00 111.96 90.00
Positions (direct):
Ac: 0.121 0.000 0.083
Ac: 0.121 0.500 0.655
Ac: 0.248 0.000 0.700
Ac: 0.252 0.500 0.300
Ac: 0.379 0.000 0.345
Ac: 0.379 0.500 0.917
Ac: 0.621 0.000 0.655
Ac: 0.621 0.500 0.083
Ac: 0.748 0.500 0.700
Ac: 0.752 0.000 0.300
Ac: 0.879 0.000 0.917
Ac: 0.879 0.500 0.345
Pr: 0.000 0.500 0.000
Pr: 0.500 0.000 0.000
Y: 0.000 0.000 0.500
Y: 0.500 0.500 0.500

SG	C2/m (12)
E above lowest polymorph	0.081	eV/atom
ΔE_f	0.104	eV per atom
size of the total moment	0.00	μB/f.u.
final energy	-4.3825	eV per atom


VASP calculation (GGA-PBE) on UMo2W after structural relaxation.

abc: 4.684 4.684 3.194
angles: 90.00 90.00 90.00
Positions (direct):
U: 0.000 0.000 0.000
Mo: 0.000 0.500 0.500
Mo: 0.500 0.000 0.500
W: 0.500 0.500 0.000

SG	P4/mmm (123)
E above lowest polymorph	0.000	eV/atom
ΔE_f	0.191	eV per atom
size of the total moment	0.00	μB/f.u.
final energy	-11.2845	eV per atom


VASP calculation (GGA-PBE) on Ca2Sc after structural relaxation.

abc: 12.725 3.765 9.365
angles: 90.00 111.22 90.00
Positions (direct):
Ca: 0.013 0.000 0.217
Ca: 0.166 0.500 0.605
Ca: 0.334 0.000 0.395
Ca: 0.487 0.500 0.783
Ca: 0.513 0.500 0.217
Ca: 0.666 0.000 0.605
Ca: 0.834 0.500 0.395
Ca: 0.987 0.000 0.783
Sc: 0.183 0.500 0.065
Sc: 0.317 0.000 0.935
Sc: 0.683 0.000 0.065
Sc: 0.817 0.500 0.935

SG	C2/m (12)
E above lowest polymorph	0.000	eV/atom
ΔE_f	0.146	eV per atom
size of the total moment	0.00	μB/f.u.
final energy	-3.2989	eV per atom